# PBE-GGA Mg14NbBi, relaxed
# Theoretical density: 2.96 g/cm3
# Spin magnetization: 0.0 Bohr magnetons per cell
# DOS at the Fermi energy: 10.1 states/eV/cell
# Space-group type: P-6m2
# ΔE to the lowest computed polymorph: 0.00 eV per formula unit
# Calculated formation energy: 0.04 eV/atom
# Calculated volume: 361 Å³ per cell
data_Mg14NbBi
_chemical_formula_sum 'Mg14 Nb1 Bi1'
_symmetry_space_group_name_H-M 'P 1'
_symmetry_Int_Tables_number 1
_cell_length_a 6.377
_cell_length_b 6.377
_cell_length_c 10.242
_cell_angle_alpha 90.00
_cell_angle_beta 90.00
_cell_angle_gamma 120.00
loop_
_symmetry_equiv_pos_as_xyz
'x,y,z'
loop_
_atom_site_label
_atom_site_fract_x
_atom_site_fract_y
_atom_site_fract_z
Mg1 0.001 0.500 0.500
Mg2 0.500 0.500 0.000
Mg3 0.163 0.326 0.760
Mg4 0.163 0.326 0.240
Mg5 0.667 0.333 0.250
Mg6 0.500 0.999 0.500
Mg7 0.674 0.837 0.760
Mg8 0.500 0.000 0.000
Mg9 0.163 0.837 0.760
Mg10 0.500 0.500 0.500
Mg11 0.000 0.500 0.000
Mg12 0.163 0.837 0.240
Mg13 0.674 0.837 0.240
Mg14 0.667 0.333 0.750
Bi1 0.000 0.000 0.500
Nb1 0.000 0.000 0.000

***

# PBE-GGA Dy3Sb2Te, relaxed
# Theoretical density: 8.02 g/cm3
# Spin magnetization: 0.0 Bohr magnetons per cell
# DOS at the Fermi energy: 1.8 states/eV/cell
# Space-group type: Immm
# ΔE to the lowest computed polymorph: 0.00 eV per formula unit
# Formation energy (no corrections): -1.23 eV per atom
# Calculated volume: 178 Å³ per cell
data_Dy3Sb2Te
_chemical_formula_sum 'Dy3 Sb2 Te1'
_symmetry_space_group_name_H-M 'P 1'
_symmetry_Int_Tables_number 1
_cell_length_a 4.383
_cell_length_b 6.192
_cell_length_c 7.568
_cell_angle_alpha 114.15
_cell_angle_beta 106.83
_cell_angle_gamma 90.00
loop_
_symmetry_equiv_pos_as_xyz
'x,y,z'
loop_
_atom_site_label
_atom_site_fract_x
_atom_site_fract_y
_atom_site_fract_z
Dy1 0.828 0.328 0.155
Dy2 0.500 0.000 0.500
Dy3 0.172 0.672 0.845
Sb1 0.835 0.835 0.170
Sb2 0.165 0.165 0.830
Te1 0.500 0.500 0.500

***

# PBE-GGA Ta2CdPtI, relaxed
# Theoretical density: 10.59 g/cm3
# Spin magnetization: 0.0 Bohr magnetons per cell
# DOS at the Fermi energy: 4.1 states/eV/cell
# Space-group type: P4/mmm
# Formation energy (no corrections): 1.71 eV per atom
# Calculated volume: 125 Å³ per cell
data_Ta2CdPtI
_chemical_formula_sum 'Ta2 Cd1 Pt1 I1'
_symmetry_space_group_name_H-M 'P 1'
_symmetry_Int_Tables_number 1
_cell_length_a 5.022
_cell_length_b 4.951
_cell_length_c 5.022
_cell_angle_alpha 90.00
_cell_angle_beta 90.00
_cell_angle_gamma 90.00
loop_
_symmetry_equiv_pos_as_xyz
'x,y,z'
loop_
_atom_site_label
_atom_site_fract_x
_atom_site_fract_y
_atom_site_fract_z
Ta1 0.500 0.000 0.000
Ta2 0.000 0.000 0.500
Pt1 0.000 0.500 0.000
I1 0.000 0.000 0.000
Cd1 0.500 0.500 0.500

***

Please write out number 1 again, unchanged.
# PBE-GGA Mg14NbBi, relaxed
# Theoretical density: 2.96 g/cm3
# Spin magnetization: 0.0 Bohr magnetons per cell
# DOS at the Fermi energy: 10.1 states/eV/cell
# Space-group type: P-6m2
# ΔE to the lowest computed polymorph: 0.00 eV per formula unit
# Calculated formation energy: 0.04 eV/atom
# Calculated volume: 361 Å³ per cell
data_Mg14NbBi
_chemical_formula_sum 'Mg14 Nb1 Bi1'
_symmetry_space_group_name_H-M 'P 1'
_symmetry_Int_Tables_number 1
_cell_length_a 6.377
_cell_length_b 6.377
_cell_length_c 10.242
_cell_angle_alpha 90.00
_cell_angle_beta 90.00
_cell_angle_gamma 120.00
loop_
_symmetry_equiv_pos_as_xyz
'x,y,z'
loop_
_atom_site_label
_atom_site_fract_x
_atom_site_fract_y
_atom_site_fract_z
Mg1 0.001 0.500 0.500
Mg2 0.500 0.500 0.000
Mg3 0.163 0.326 0.760
Mg4 0.163 0.326 0.240
Mg5 0.667 0.333 0.250
Mg6 0.500 0.999 0.500
Mg7 0.674 0.837 0.760
Mg8 0.500 0.000 0.000
Mg9 0.163 0.837 0.760
Mg10 0.500 0.500 0.500
Mg11 0.000 0.500 0.000
Mg12 0.163 0.837 0.240
Mg13 0.674 0.837 0.240
Mg14 0.667 0.333 0.750
Bi1 0.000 0.000 0.500
Nb1 0.000 0.000 0.000